First-principles (PBE-GGA) data for an optimized crystal structure of TaRePb3, as listed in the Alexandria database.

```
TaRePb3
1.0
-5.021 -1.737 -1.358
-1.237 -0.578 5.311
-1.826 5.169 0.137
Re Pb Ta
1 3 1
Cartesian
-4.042 1.427 2.045
-2.510 -0.869 -0.679
-0.619 -0.289 2.655
-0.913 2.584 0.069
0.000 0.000 0.000
```

## Properties
DOS at the Fermi energy, states/eV/cell: 3.33
ΔH_f (0 K), kJ/mol of formula units: 809
Density, g/cm3: 9.96
Crystal system: cubic
Relative energy among the computed polymorphs, meV/atom: 117


First-principles (PBE-GGA) data for an optimized crystal structure of Sc2NiGe2, as listed in the Alexandria database.

```
Sc2NiGe2
1.0
-0.571 -3.807 4.053
3.986 -3.225 -2.468
2.391 6.206 2.312
Sc Ni Ge
4 2 4
Cartesian
3.990 -3.475 1.153
2.287 0.037 0.357
3.519 -0.863 3.540
1.816 2.649 2.744
1.850 -2.564 -0.221
1.565 -4.468 1.806
3.909 -1.970 -1.299
1.898 1.144 5.196
4.386 1.264 1.806
1.420 -2.090 2.091
```

## Properties
DOS at the Fermi energy, states/eV/cell: 8.32
ΔH_f (0 K), kJ/mol of formula units: -309
Density, g/cm3: 5.29
Crystal system: orthorhombic


First-principles (PBE-GGA) data for an optimized crystal structure of Ce7Ga2N2, as listed in the Alexandria database.

```
Ce7Ga2N2
1.0
6.336 -0.002 -0.985
0.003 6.433 0.003
-1.378 -0.002 6.262
Ce N Ga
7 2 2
Cartesian
3.170 4.799 -0.490
5.649 4.797 2.149
0.000 0.000 0.000
1.791 1.629 5.771
-0.688 1.632 3.132
2.479 1.357 2.640
2.482 5.072 2.641
4.481 -0.002 0.758
0.477 -0.002 4.520
0.838 3.216 0.892
4.123 3.213 4.388
```

## Properties
ΔE_f (raw), eV/atom: -0.51
DOS at the Fermi energy, states/eV/cell: 26.04
Density, g/cm3: 7.73
Crystal system: orthorhombic


First-principles (PBE-GGA) data for an optimized crystal structure of LiHgPb2, as listed in the Alexandria database.

```
LiHgPb2
1.0
-3.895 2.856 3.698
-4.447 -0.672 4.095
1.700 0.315 5.158
Li Pb Hg
1 2 1
Cartesian
-1.531 0.582 3.038
-5.102 1.886 9.655
-8.059 2.144 7.841
-3.615 1.319 6.686
```

## Properties
DOS at the Fermi energy, states/eV/cell: 1.46
ΔH_f (0 K), kJ/mol of formula units: -49
Density, g/cm3: 10.03
Crystal system: monoclinic


First-principles (PBE-GGA) data for an optimized crystal structure of K2TcMo, as listed in the Alexandria database.

```
K2TcMo
1.0
10.792 0.185 0.266
10.202 3.525 0.266
0.537 0.095 3.622
K Mo Tc
2 1 1
Cartesian
12.812 2.264 1.775
18.948 3.348 0.834
16.149 2.854 3.116
5.383 0.951 1.039
```

## Properties
DOS at the Fermi energy, states/eV/cell: 4.32
ΔH_f (0 K), kJ/mol of formula units: 328
Density, g/cm3: 3.46
Crystal system: monoclinic
Relative energy among the computed polymorphs, meV/atom: 68


First-principles (PBE-GGA) data for an optimized crystal structure of HoLuCoPt, as listed in the Alexandria database.

```
HoLuCoPt
1.0
-0.879 0.368 -4.691
3.529 -0.692 -3.158
0.015 -3.916 -2.752
Pt Co Ho Lu
1 1 1 1
Cartesian
0.000 0.000 0.000
1.333 -2.120 -5.300
0.666 -1.060 -2.650
1.999 -3.181 -7.950
```

## Properties
DOS at the Fermi energy, states/eV/cell: 2.56
ΔH_f (0 K), kJ/mol of formula units: -282
Density, g/cm3: 12.72
Crystal system: cubic


First-principles (PBE-GGA) data for an optimized crystal structure of AlGe2IrSe, as listed in the Alexandria database.

```
AlGe2IrSe
1.0
-3.834 2.375 1.766
1.270 -1.182 4.346
2.652 4.041 0.324
Ge Se Ir Al
2 1 1 1
Cartesian
-1.917 1.188 0.883
1.326 2.020 0.162
0.000 0.000 0.000
0.044 2.617 3.218
0.635 -0.591 2.173
```

## Properties
ΔE_f (raw), eV/atom: 1.19
DOS at the Fermi energy, states/eV/cell: 3.84
Density, g/cm3: 6.71
Crystal system: tetragonal


First-principles (PBE-GGA) data for an optimized crystal structure of Nd2Sm3Er6Pu, as listed in the Alexandria database.

```
Nd2Sm3Er6Pu
1.0
-1.890 5.151 2.787
-4.091 -3.753 -2.653
0.903 -6.222 9.818
Er Nd Sm Pu
6 2 3 1
Cartesian
-4.289 -0.484 2.529
-3.472 -2.179 8.388
-0.886 0.265 3.343
-1.606 -2.646 1.564
-4.192 -5.090 6.609
-0.789 -4.341 7.423
-3.356 -0.779 -0.836
-2.625 2.176 0.970
-1.807 0.546 6.784
-2.539 -2.413 4.976
-3.271 -5.371 3.168
0.000 0.000 0.000
```

## Properties
DOS at the Fermi energy, states/eV/cell: 24.08
ΔH_f (0 K), kJ/mol of formula units: 283
Density, g/cm3: 8.78
Crystal system: monoclinic


Which of these has the highest DOS at the Fermi energy? Ce7Ga2N2


Which of these has the lowest density? K2TcMo


Copy entry 5 word for word.
First-principles (PBE-GGA) data for an optimized crystal structure of K2TcMo, as listed in the Alexandria database.

```
K2TcMo
1.0
10.792 0.185 0.266
10.202 3.525 0.266
0.537 0.095 3.622
K Mo Tc
2 1 1
Cartesian
12.812 2.264 1.775
18.948 3.348 0.834
16.149 2.854 3.116
5.383 0.951 1.039
```

## Properties
DOS at the Fermi energy, states/eV/cell: 4.32
ΔH_f (0 K), kJ/mol of formula units: 328
Density, g/cm3: 3.46
Crystal system: monoclinic
Relative energy among the computed polymorphs, meV/atom: 68